First-principles (PBE) data for a geometry-optimized DyPaTe2S structure, as listed in Alexandria.

a b c (Å): 4.3109 4.3109 14.8752
angles (deg): 90.00 90.00 90.00
Last column: nearest neighbours and their distance in Å.
Fractional coordinates of all 10 atoms:
Dy 0.5000 0.0000 0.0861  6 Te 3.10-3.16
Te 0.0000 0.5000 0.7018  1 Dy 3.16, 4 Pa 3.31
S 0.0000 0.0000 0.5000  4 Pa 2.75, 4 S 3.05
Dy 0.0000 0.5000 0.9139  6 Te 3.10-3.16
Pa 0.0000 0.5000 0.3852  4 S 2.75
Te 0.0000 0.5000 0.1230  5 Dy 3.10-3.11
Pa 0.5000 0.0000 0.6148  4 S 2.75
Te 0.5000 0.0000 0.2982  1 Dy 3.16, 4 Pa 3.31
Te 0.5000 0.0000 0.8770  5 Dy 3.10-3.11
S 0.5000 0.5000 0.5000  4 Pa 2.75, 4 S 3.05

Summary:
Mass density in g/cm³: 8.18
E_form (uncorrected) in eV per atom: -1.2745
Symmetry: P4/nmm, No. 129

=====

First-principles (PBE) data for a geometry-optimized Dy2PaTl3S6 structure, as listed in Alexandria.

a b c (Å): 6.9258 6.9258 8.3505
angles (deg): 98.36 98.36 120.06
Last column: nearest neighbours and their distance in Å.
Fractional coordinates of all 12 atoms:
S 0.0646 0.3940 0.1840  1 Pa 2.71, 2 Dy 2.75
S 0.2642 0.2642 0.8136  1 Pa 2.72, 2 Dy 2.75
S 0.6060 0.9354 0.8160  1 Pa 2.71, 2 Dy 2.75
S 0.3940 0.0646 0.1840  1 Pa 2.71, 2 Dy 2.75
S 0.9354 0.6060 0.8160  1 Pa 2.71, 2 Dy 2.75
Dy 0.3339 0.6661 0.0000  6 S 2.75
S 0.7358 0.7358 0.1864  1 Pa 2.72, 2 Dy 2.75
Tl 0.5000 0.5000 0.5000  6 S 3.39-3.47
Tl 0.8255 0.1745 0.5000  6 S 3.36-3.45
Pa 0.0000 0.0000 0.0000  6 S 2.71-2.72
Dy 0.6661 0.3339 0.0000  6 S 2.75
Tl 0.1745 0.8255 0.5000  6 S 3.36-3.45

Summary:
Mass density in g/cm³: 6.82
E_form (uncorrected) in eV per atom: -1.3447
Symmetry: C2/m, No. 12

=====

First-principles (PBE) data for a geometry-optimized Dy3PaTl3S8 structure, as listed in Alexandria.

a b c (Å): 8.0536 8.0528 8.9087
angles (deg): 116.90 90.00 120.00
Last column: nearest neighbours and their distance in Å.
Fractional coordinates of all 15 atoms:
S 0.7352 0.9644 0.6935  1 Pa 2.73, 2 Dy 2.76
Pa 0.0000 0.0000 0.5000  6 S 2.73
Dy 0.5000 0.5000 0.5000  6 S 2.76
Dy 0.0000 0.5000 0.5000  6 S 2.76
Tl 0.0000 0.5000 0.0000  6 S 3.28
S 0.2293 0.4585 0.6935  1 Pa 2.73, 2 Dy 2.76
S 0.7707 0.0356 0.3065  1 Pa 2.73, 2 Dy 2.76
S 0.2293 0.9644 0.6935  1 Pa 2.73, 2 Dy 2.76
S 0.7707 0.5415 0.3065  1 Pa 2.73, 2 Dy 2.76
S 0.2683 0.5366 0.3051  3 Dy 2.76
S 0.7317 0.4634 0.6949  3 Dy 2.76
Tl 0.0000 0.0000 0.0000  6 S 3.28
Dy 0.5000 0.0000 0.5000  6 S 2.76
S 0.2648 0.0356 0.3065  1 Pa 2.73, 2 Dy 2.76
Tl 0.5000 0.5000 0.0000  6 S 3.28

Summary:
Mass density in g/cm³: 6.18
E_form (uncorrected) in eV per atom: -1.5100
Symmetry: R-3m, No. 166

=====

First-principles (PBE) data for a geometry-optimized Dy2TmPaS4 structure, as listed in Alexandria.

a b c (Å): 3.8545 6.7621 6.7302
angles (deg): 108.99 90.00 90.00
Last column: nearest neighbours and their distance in Å.
Fractional coordinates of all 8 atoms:
Dy 0.0000 0.5000 0.5000  6 S 2.77
Pa 0.5000 0.5000 0.0000  6 S 2.75-2.76
S 0.0000 0.7545 0.2505  1 Tm 2.72, 3 Dy 2.73-2.77, 2 Pa 2.76
Dy 0.5000 0.0000 0.5000  6 S 2.73-2.74
Tm 0.0000 0.0000 0.0000  6 S 2.72-2.73
S 0.5000 0.7547 0.7534  2 Tm 2.73, 3 Dy 2.74-2.77, 1 Pa 2.75
S 0.0000 0.2455 0.7495  1 Tm 2.72, 3 Dy 2.73-2.77, 2 Pa 2.76
S 0.5000 0.2453 0.2466  2 Tm 2.73, 3 Dy 2.74-2.77, 1 Pa 2.75

Summary:
Mass density in g/cm³: 8.54
E_form (uncorrected) in eV per atom: -1.8619
Symmetry: P2/m, No. 10

=====

First-principles (PBE) data for a geometry-optimized DyTmPa2S4 structure, as listed in Alexandria.

a b c (Å): 3.7613 6.5224 7.0727
angles (deg): 107.87 90.00 90.00
Last column: nearest neighbours and their distance in Å.
Fractional coordinates of all 8 atoms:
S 0.5000 0.2495 0.2412  1 Tm 2.70, 2 Dy 2.72, 3 Pa 2.78-2.80
S 0.0000 0.7438 0.2395  2 Tm 2.70, 1 Dy 2.72, 3 Pa 2.78-2.80
S 0.5000 0.7505 0.7588  1 Tm 2.70, 2 Dy 2.72, 3 Pa 2.78-2.80
Dy 0.0000 0.0000 0.0000  6 S 2.72
Pa 0.0000 0.5000 0.5000  6 S 2.78
Pa 0.5000 0.0000 0.5000  6 S 2.80
Tm 0.5000 0.5000 0.0000  6 S 2.70
S 0.0000 0.2562 0.7605  2 Tm 2.70, 1 Dy 2.72, 3 Pa 2.78-2.80

Summary:
Mass density in g/cm³: 9.27
E_form (uncorrected) in eV per atom: -1.7629
Symmetry: P2/m, No. 10

=====

First-principles (PBE) data for a geometry-optimized DyTm2PaS4 structure, as listed in Alexandria.

a b c (Å): 3.8312 6.7469 6.6982
angles (deg): 71.10 90.00 90.00
Last column: nearest neighbours and their distance in Å.
Fractional coordinates of all 8 atoms:
Pa 0.0000 0.5000 0.5000  6 S 2.76-2.77
Tm 0.5000 0.0000 0.5000  6 S 2.71
S 0.0000 0.2433 0.2514  3 Tm 2.71, 2 Dy 2.76, 1 Pa 2.76
S 0.5000 0.7582 0.2457  3 Tm 2.70-2.71, 1 Dy 2.76, 2 Pa 2.77
S 0.0000 0.7567 0.7486  3 Tm 2.71, 2 Dy 2.76, 1 Pa 2.76
Tm 0.0000 0.0000 0.0000  6 S 2.70-2.71
Dy 0.5000 0.5000 0.0000  6 S 2.76
S 0.5000 0.2418 0.7543  3 Tm 2.70-2.71, 1 Dy 2.76, 2 Pa 2.77

Summary:
Mass density in g/cm³: 8.71
E_form (uncorrected) in eV per atom: -1.8484
Symmetry: P2/m, No. 10

=====

First-principles (PBE) data for a geometry-optimized DyYPa2S4 structure, as listed in Alexandria.

a b c (Å): 3.8022 6.5898 7.0400
angles (deg): 108.18 90.00 90.00
Last column: nearest neighbours and their distance in Å.
Fractional coordinates of all 8 atoms:
Pa 0.0000 0.5000 0.5000  6 S 2.78
S 0.0000 0.2525 0.7557  2 Dy 2.74, 1 Y 2.74, 3 Pa 2.78
Dy 0.5000 0.5000 0.0000  6 S 2.74
S 0.0000 0.7475 0.2443  2 Dy 2.74, 1 Y 2.74, 3 Pa 2.78
S 0.5000 0.2485 0.2446  1 Dy 2.74, 2 Y 2.74, 3 Pa 2.78
Y 0.0000 0.0000 0.0000  6 S 2.74
S 0.5000 0.7515 0.7554  1 Dy 2.74, 2 Y 2.74, 3 Pa 2.78
Pa 0.5000 0.0000 0.5000  6 S 2.78

Summary:
Mass density in g/cm³: 8.34
E_form (uncorrected) in eV per atom: -1.7734
Symmetry: P2/m, No. 10

=====

First-principles (PBE) data for a geometry-optimized DyY2PaS4 structure, as listed in Alexandria.

a b c (Å): 3.8787 6.7771 6.7852
angles (deg): 109.03 90.00 90.00
Last column: nearest neighbours and their distance in Å.
Fractional coordinates of all 8 atoms:
Pa 0.5000 0.5000 0.0000  6 S 2.76-2.77
S 0.0000 0.2482 0.7488  3 Y 2.75-2.76, 1 Dy 2.76, 2 Pa 2.77
S 0.0000 0.7518 0.2512  3 Y 2.75-2.76, 1 Dy 2.76, 2 Pa 2.77
Y 0.5000 0.0000 0.5000  6 S 2.75-2.76
Dy 0.0000 0.0000 0.0000  6 S 2.76
Y 0.0000 0.5000 0.5000  6 S 2.76-2.77
S 0.5000 0.2493 0.2493  2 Dy 2.76, 3 Y 2.76-2.77, 1 Pa 2.76
S 0.5000 0.7507 0.7507  2 Dy 2.76, 3 Y 2.76-2.77, 1 Pa 2.76

Summary:
Mass density in g/cm³: 6.89
E_form (uncorrected) in eV per atom: -1.8784
Symmetry: P2/m, No. 10

=====

First-principles (PBE) data for a geometry-optimized Dy2YPaS4 structure, as listed in Alexandria.

a b c (Å): 3.8765 6.7776 6.7714
angles (deg): 109.04 90.00 90.00
Last column: nearest neighbours and their distance in Å.
Fractional coordinates of all 8 atoms:
S 0.5000 0.2503 0.2511  3 Dy 2.75-2.76, 1 Pa 2.76, 2 Y 2.76
Pa 0.5000 0.5000 0.0000  6 S 2.76-2.77
S 0.5000 0.7497 0.7489  3 Dy 2.75-2.76, 1 Pa 2.76, 2 Y 2.76
Dy 0.0000 0.5000 0.5000  6 S 2.75-2.76
S 0.0000 0.2481 0.7475  3 Dy 2.75, 1 Y 2.76, 2 Pa 2.77
Dy 0.5000 0.0000 0.5000  6 S 2.75
Y 0.0000 0.0000 0.0000  6 S 2.76
S 0.0000 0.7519 0.2525  3 Dy 2.75, 1 Y 2.76, 2 Pa 2.77

Summary:
Mass density in g/cm³: 7.63
E_form (uncorrected) in eV per atom: -1.8787
Symmetry: P2/m, No. 10

=====

First-principles (PBE) data for a geometry-optimized DyPaSb structure, as listed in Alexandria.

a b c (Å): 3.8819 3.8819 10.5105
angles (deg): 90.00 90.00 90.00
Last column: nearest neighbours and their distance in Å.
Fractional coordinates of all 6 atoms:
Dy 0.5000 0.0000 0.4003  4 Sb 3.20, 4 Dy 3.45
Sb 0.5000 0.0000 0.7560  5 Pa 3.15-3.38, 4 Dy 3.20
Sb 0.0000 0.5000 0.2440  5 Pa 3.15-3.38, 4 Dy 3.20
Pa 0.0000 0.5000 0.9439  4 Pa 2.99, 1 Sb 3.15
Dy 0.0000 0.5000 0.5997  4 Sb 3.20, 4 Dy 3.45
Pa 0.5000 0.0000 0.0561  4 Pa 2.99, 1 Sb 3.15

Summary:
Energy above the most stable polymorph in this dataset in eV per atom: 0.000
Mass density in g/cm³: 10.80
E_form (uncorrected) in eV per atom: -0.3812
Symmetry: P4/nmm, No. 129

=====

First-principles (PBE) data for a geometry-optimized DyPa3Sb4 structure, as listed in Alexandria.

a b c (Å): 7.5568 7.5847 8.7387
angles (deg): 90.00 90.00 109.47
Last column: nearest neighbours and their distance in Å.
Fractional coordinates of all 16 atoms:
Sb 0.0018 0.7522 0.3729  1 Dy 3.08, 5 Pa 3.09-3.10
Sb 0.4982 0.2478 0.3729  1 Dy 3.08, 5 Pa 3.09-3.10
Sb 0.5018 0.7522 0.6271  1 Dy 3.08, 5 Pa 3.09-3.10
Sb 0.0004 0.2494 0.1251  2 Dy 3.08, 4 Pa 3.09-3.10
Sb 0.9982 0.2478 0.6271  1 Dy 3.08, 5 Pa 3.09-3.10
Pa 0.2500 0.5000 0.8745  6 Sb 3.09-3.10
Pa 0.7500 0.5000 0.6231  6 Sb 3.09-3.10
Sb 0.5004 0.2494 0.8749  2 Dy 3.08, 4 Pa 3.09-3.10
Pa 0.2500 0.5000 0.3769  6 Sb 3.09-3.10
Sb 0.9996 0.7506 0.8749  2 Dy 3.08, 4 Pa 3.09-3.10
Pa 0.7500 0.0000 0.3756  6 Sb 3.09
Sb 0.4996 0.7506 0.1251  2 Dy 3.08, 4 Pa 3.09-3.10
Pa 0.7500 0.5000 0.1255  6 Sb 3.09-3.10
Pa 0.2500 0.0000 0.6244  6 Sb 3.09
Dy 0.7500 0.0000 0.8768  6 Sb 3.08
Dy 0.2500 0.0000 0.1232  6 Sb 3.08

Summary:
Mass density in g/cm³: 9.44
E_form (uncorrected) in eV per atom: -0.5975
Symmetry: P2/c, No. 13

=====

First-principles (PBE) data for a geometry-optimized DyPaSb structure, as listed in Alexandria.

a b c (Å): 3.4347 5.2764 5.2764
angles (deg): 120.00 90.00 90.00
Last column: nearest neighbours and their distance in Å.
Fractional coordinates of all 3 atoms:
Sb 0.3683 0.3333 0.6667  3 Dy 3.13, 3 Pa 3.23, 2 Sb 3.43
Pa 0.0551 0.0000 0.0000  3 Sb 3.23, 2 Pa 3.43, 6 Dy 3.46-3.53
Dy 0.5766 0.6667 0.3333  3 Sb 3.13, 2 Dy 3.43, 3 Pa 3.46

Summary:
Energy above the most stable polymorph in this dataset in eV per atom: 0.331
Mass density in g/cm³: 10.33
E_form (uncorrected) in eV per atom: -0.0505
Symmetry: P3m1, No. 156

=====

Q: Which formula does entry 2 have?
A: Dy2PaTl3S6

=====

Q: Look up the E_form (uncorrected) of the fourth one.
A: -1.8619 eV per atom

=====

Q: What is the formula in the ninth record?
A: Dy2YPaS4